*A*
Crystalline KNa3Ni at its relaxed geometry, computed with PBE-GGA.

Unit cell a=5.942 b=5.942 c=5.942 alpha=90.00 beta=90.00 gamma=90.00
Space group Pm-3m (No. 221)
One atom of each set of equivalent atoms:
K 0.000 0.000 0.000 (multiplicity 1)
Na 0.000 0.000 0.500 (multiplicity 3)
Ni 0.500 0.500 0.500 (multiplicity 1)

*B*
Crystalline KNa3Ni at its relaxed geometry, computed with PBE-GGA.

Unit cell a=5.581 b=5.581 c=5.581 alpha=90.00 beta=90.00 gamma=90.00
Space group Pm-3m (No. 221)
One atom of each set of equivalent atoms:
K 0.000 0.000 0.000 (multiplicity 1)
Na 0.000 0.500 0.500 (multiplicity 3)
Ni 0.500 0.500 0.500 (multiplicity 1)

Verdict on stability: *B* comes out on top.

*A*
Crystalline KNa2Ni at its relaxed geometry, computed with PBE-GGA.

Unit cell a=7.641 b=7.641 c=7.641 alpha=90.00 beta=90.00 gamma=90.00
Space group Fm-3m (No. 225)
One atom of each set of equivalent atoms:
K 0.000 0.000 0.000 (multiplicity 4)
Na 0.250 0.250 0.250 (multiplicity 8)
Ni 0.000 0.000 0.500 (multiplicity 4)

*B*
Crystalline KNa2Ni at its relaxed geometry, computed with PBE-GGA.

Unit cell a=4.768 b=4.768 c=21.945 alpha=90.00 beta=90.00 gamma=90.00
Space group I-42d (No. 122)
One atom of each set of equivalent atoms:
K 0.000 0.000 0.000 (multiplicity 4)
Na 0.198 0.250 0.625 (multiplicity 8)
Ni 0.000 0.000 0.500 (multiplicity 4)

Verdict on stability: *A* comes out on top.

*A*
Crystalline K4Na2O at its relaxed geometry, computed with PBE-GGA.

Unit cell a=5.384 b=5.384 c=21.469 alpha=90.00 beta=90.00 gamma=90.00
Space group I4/mmm (No. 139)
One atom of each set of equivalent atoms:
K 0.000 0.000 0.121 (multiplicity 4)
K 0.000 0.500 0.000 (multiplicity 4)
Na 0.000 0.000 0.301 (multiplicity 4)
O 0.000 0.000 0.000 (multiplicity 2)

*B*
Crystalline K4Na2O at its relaxed geometry, computed with PBE-GGA.

Unit cell a=21.395 b=4.059 c=7.399 alpha=90.00 beta=109.47 gamma=90.00
Space group C2/m (No. 12)
One atom of each set of equivalent atoms:
K 0.069 0.000 0.420 (multiplicity 4)
K 0.081 0.500 0.850 (multiplicity 4)
Na 0.241 0.000 0.248 (multiplicity 4)
O 0.000 0.500 0.500 (multiplicity 2)

Verdict on stability: *B* comes out on top.

*A*
Crystalline K3NaOs2O9 at its relaxed geometry, computed with PBE-GGA.

Unit cell a=6.0904 b=6.0904 c=14.5694 alpha=90.00 beta=90.00 gamma=120.00
Space group P6_3/mmc (No. 194)
One atom of each set of equivalent atoms:
K 0.0000 0.0000 0.2500 (multiplicity 2)
K 0.3333 0.6667 0.1081 (multiplicity 4)
Na 0.0000 0.0000 0.0000 (multiplicity 2)
Os 0.3333 0.6667 0.6501 (multiplicity 4)
O 0.0636 0.5318 0.7500 (multiplicity 6)
O 0.1822 0.3643 0.5917 (multiplicity 12)

*B*
Crystalline K3NaOs2O9 at its relaxed geometry, computed with PBE-GGA.

Unit cell a=5.7231 b=5.7231 c=7.2784 alpha=90.00 beta=90.00 gamma=120.00
Space group P-3m1 (No. 164)
One atom of each set of equivalent atoms:
K 0.0000 0.0000 0.0000 (multiplicity 1)
K 0.3333 0.6667 0.6612 (multiplicity 2)
Na 0.0000 0.0000 0.5000 (multiplicity 1)
Os 0.3333 0.6667 0.1608 (multiplicity 2)
O 0.0000 0.5000 0.0000 (multiplicity 3)
O 0.1796 0.3593 0.2974 (multiplicity 6)

Verdict on stability: *A* comes out on top.

*A*
Crystalline K3NaRe2O9 at its relaxed geometry, computed with PBE-GGA.

Unit cell a=5.7532 b=5.7532 c=7.3085 alpha=90.00 beta=90.00 gamma=120.00
Space group P-3m1 (No. 164)
One atom of each set of equivalent atoms:
K 0.0000 0.0000 0.0000 (multiplicity 1)
K 0.3333 0.6667 0.6703 (multiplicity 2)
Na 0.0000 0.0000 0.5000 (multiplicity 1)
Re 0.3333 0.6667 0.1674 (multiplicity 2)
O 0.0000 0.5000 0.0000 (multiplicity 3)
O 0.1800 0.3601 0.2975 (multiplicity 6)

*B*
Crystalline K3NaRe2O9 at its relaxed geometry, computed with PBE-GGA.

Unit cell a=6.1150 b=6.1150 c=14.6128 alpha=90.00 beta=90.00 gamma=120.00
Space group P6_3/mmc (No. 194)
One atom of each set of equivalent atoms:
K 0.0000 0.0000 0.2500 (multiplicity 2)
K 0.3333 0.6667 0.1181 (multiplicity 4)
Na 0.0000 0.0000 0.0000 (multiplicity 2)
Re 0.3333 0.6667 0.6496 (multiplicity 4)
O 0.0610 0.5305 0.7500 (multiplicity 6)
O 0.1826 0.3652 0.5944 (multiplicity 12)

Verdict on stability: *B* comes out on top.

*A*
Crystalline K3NaRu2O8 at its relaxed geometry, computed with PBE-GGA.

Unit cell a=10.532 b=6.093 c=15.497 alpha=90.00 beta=90.39 gamma=90.00
Space group C2/c (No. 15)
One atom of each set of equivalent atoms:
K 0.000 0.066 0.250 (multiplicity 4)
K 0.171 0.473 0.916 (multiplicity 8)
Na 0.000 0.000 0.000 (multiplicity 4)
Ru 0.162 0.475 0.640 (multiplicity 8)
O 0.071 0.228 0.622 (multiplicity 8)
O 0.082 0.310 0.079 (multiplicity 8)
O 0.174 0.435 0.249 (multiplicity 8)
O 0.187 0.048 0.413 (multiplicity 8)

*B*
Crystalline K3NaRu2O8 at its relaxed geometry, computed with PBE-GGA.

Unit cell a=6.0745 b=6.0745 c=7.7909 alpha=90.00 beta=90.00 gamma=120.00
Space group P-3m1 (No. 164)
One atom of each set of equivalent atoms:
K 0.0000 0.0000 0.0000 (multiplicity 1)
K 0.3333 0.6667 0.6530 (multiplicity 2)
Na 0.0000 0.0000 0.5000 (multiplicity 1)
Ru 0.3333 0.6667 0.2125 (multiplicity 2)
O 0.1755 0.3511 0.3040 (multiplicity 6)
O 0.3333 0.6667 0.9853 (multiplicity 2)

Verdict on stability: *A* comes out on top.

*A*
Crystalline KNaSO4 at its relaxed geometry, computed with PBE-GGA.

Unit cell a=6.359 b=9.828 c=7.074 alpha=90.00 beta=90.00 gamma=90.00
Space group Cmcm (No. 63)
One atom of each set of equivalent atoms:
K 0.000 0.000 0.000 (multiplicity 4)
Na 0.000 0.336 0.250 (multiplicity 4)
S 0.000 0.358 0.750 (multiplicity 4)
O 0.000 0.272 0.577 (multiplicity 8)
O 0.191 0.449 0.750 (multiplicity 8)

*B*
Crystalline KNaSO4 at its relaxed geometry, computed with PBE-GGA.

Unit cell a=5.6796 b=5.6796 c=7.3140 alpha=90.00 beta=90.00 gamma=120.00
Space group P3m1 (No. 156)
One atom of each set of equivalent atoms:
K 0.0000 0.0000 0.0000 (multiplicity 1)
K 0.3333 0.6667 0.3271 (multiplicity 1)
Na 0.0000 0.0000 0.4990 (multiplicity 1)
Na 0.6667 0.3333 0.7096 (multiplicity 1)
S 0.3333 0.6667 0.7694 (multiplicity 1)
S 0.6667 0.3333 0.2279 (multiplicity 1)
O 0.1903 0.3806 0.6973 (multiplicity 3)
O 0.3333 0.6667 0.9704 (multiplicity 1)
O 0.3810 0.1905 0.2987 (multiplicity 3)
O 0.6667 0.3333 0.0254 (multiplicity 1)

Verdict on stability: *B* comes out on top.